{"formula": "SbRuC2N", "functional": "GGA-PBEsol", "state": "optimized geometry", "cell": [[-2.630, -2.499, -0.644], [0.681, -1.558, 3.269], [-2.880, 2.562, 1.821]], "species": ["Sb", "C", "C", "Ru", "N"], "frac_coords": [[0.000, 0.000, 0.500], [0.000, 0.500, 0.000], [0.500, 0.000, 0.000], [0.500, 0.500, 0.500], [0.000, 0.000, 0.000]], "energy_ha_per_atom": -0.220, "formation_energy_uncorrected_mev_per_atom": 2511}